Here is a relaxed MgTc2WBr crystal from Alexandria. Energies are from PBE.

Cell: 4.578 4.619 4.578 Å, 90.00 90.00 90.00°
Last column: magnetic moment on the atom in μB.
Positions (direct):
Mg: 0.500 0.500 0.500  -0.01
Br: 0.000 0.000 0.000  -0.01
Tc: 0.000 0.000 0.500  0.30
Tc: 0.500 0.000 0.000  0.33
W: 0.000 0.500 0.000  0.27

As for the total magnetic moment: 0.20 μB/atom. The value obtained for the raw total energy is -29.2 eV per formula unit.


Here is a relaxed MnTc2Sb2 crystal from Alexandria. Energies are from PBE.

Cell: 6.609 6.609 4.032 Å, 90.00 90.00 90.00°
Positions (direct):
Sb: 0.171 0.671 0.500
Sb: 0.671 0.829 0.500
Sb: 0.829 0.329 0.500
Sb: 0.329 0.171 0.500
Mn: 0.000 0.000 0.000
Mn: 0.500 0.500 0.000
Tc: 0.363 0.863 0.000
Tc: 0.863 0.637 0.000
Tc: 0.637 0.137 0.000
Tc: 0.137 0.363 0.000

As for the total magnetic moment: 0.01 μB/atom. The value obtained for the raw total energy is -35.6 eV per formula unit.


Here is a relaxed Li2NpUS4 crystal from Alexandria. Energies are from PBE.

Cell: 3.890 6.730 6.601 Å, 109.84 90.00 90.00°
Last column: magnetic moment on the atom in μB.
Positions (direct):
Li: 0.500 0.000 0.500  0.00
Li: 0.000 0.500 0.500  0.00
Np: 0.000 0.000 0.000  3.95
U: 0.500 0.500 0.000  2.53
S: 0.500 0.254 0.255  -0.07
S: 0.500 0.746 0.745  -0.07
S: 0.000 0.250 0.743  -0.07
S: 0.000 0.750 0.257  -0.07

As for the total magnetic moment: 0.88 μB/atom. The value obtained for the raw total energy is -55.5 eV per formula unit.


no.,raw formation energy (meV/atom),density (g/cm3)
1,1558,8.30
2,513,9.32
3,-1372,6.30